No. 1
SrNd2Hg9 after structural relaxation. Source: the Alexandria database, functional PBE.

The crystal system is tetragonal. Its uncorrected energy is -1.522 eV/atom. The value obtained for the formation energy from the elements is -34.80 kJ/mol of atoms. The calculation puts the density of states at the Fermi level at 0.670 states/eV per atom.

It has space group P4/mmm (No. 123), with a = 4.787 Å, b = 4.787 Å, c = 14.074 Å, α = 90.00°, β = 90.00° and γ = 90.00°. Symmetry generates all atoms from Sr at (0.000, 0.000, 0.000), Nd at (0.000, 0.000, 0.336), Hg at (0.000, 0.500, 0.176), Hg at (0.000, 0.500, 0.500), Hg at (0.500, 0.500, 0.000) and Hg at (0.500, 0.500, 0.342).


No. 2
RbHgTe2 after structural relaxation. Source: the Alexandria database, functional PBE.

The crystal system is tetragonal. Its uncorrected formation energy is -392 meV per atom. Its uncorrected energy is -2.281 eV/atom. The calculation puts the density of states at the Fermi level at 0.963 states/eV per atom.

It has space group I-42d (No. 122), with a = 8.769 Å, b = 8.769 Å, c = 8.188 Å, α = 90.00°, β = 90.00° and γ = 90.00°. Symmetry generates all atoms from Rb at (0.000, 0.000, 0.000), Hg at (0.000, 0.000, 0.500) and Te at (0.168, 0.250, 0.625).


No. 3
Al2V2W after structural relaxation. Source: the Alexandria database, functional PBE.

The crystal system is orthorhombic. The distance to the lowest polymorph of the same formula comes out at 46.2 kJ/mol of atoms. Its uncorrected energy is -7.273 eV/atom. The value obtained for the formation energy from the elements is 44.62 kJ/mol of atoms. The calculation puts the density of states at the Fermi level at 1.031 states/eV per atom.

It has space group Cmmm (No. 65), with a = 4.452 Å, b = 7.108 Å, c = 5.123 Å, α = 90.00°, β = 90.00° and γ = 90.00°. Symmetry generates all atoms from Al at (0.000, 0.168, 0.000), V at (0.000, 0.500, 0.237) and W at (0.000, 0.000, 0.500).